[1]
Cd2CuSe: relaxed, PBEsol.

POSCAR file:
```
Cd2CuSe
1.0
-1.6412 2.0465 5.8013
1.6412 -2.0465 5.8013
1.6412 2.0465 -5.8013
Cd Cu Se
2 1 1
Direct
0.0000 0.0000 0.0000
0.6802 0.1802 0.5000
0.2101 0.7101 0.5000
0.3761 0.3761 0.0000
```

The raw total energy comes out at -2.63 eV per atom. As for the space-group type: Imm2.

[2]
Cd2CuSe: relaxed, PBEsol.

POSCAR file:
```
Cd2CuSe
1.0
1.9762 1.1410 6.0012
-1.9762 1.1410 6.0012
0.0000 -2.2819 6.0012
Cd Cu Se
2 1 1
Direct
0.2413 0.2413 0.2413
0.7587 0.7587 0.7587
0.5000 0.5000 0.5000
0.0000 0.0000 0.0000
```

The raw total energy comes out at -2.62 eV per atom. As for the space-group type: R-3m.